DFT (GGA-PBE) results for crystalline PaFeSiNi at its relaxed geometry.

symmetry	Amm2, No. 38
DOS(E_F)	6.8	states/eV per cell
formation energy from raw total energies	-0.428	eV per atom
VASP energy	-7.7183	eV/atom
crystal system	orthorhombic
total magnetization	0.00	μB/cell

Unit cell a=4.227 b=3.786 c=8.096 alpha=90.00 beta=90.00 gamma=90.00
Sites, in units of the cell vectors:
Pa  0.000  0.000  0.000
Pa  0.000  0.500  0.500
Fe  0.000  0.000  0.735
Fe  0.000  0.500  0.235
Si  0.500  0.000  0.622
Si  0.500  0.500  0.122
Ni  0.500  0.000  0.309
Ni  0.500  0.500  0.809